This record from the Alexandria database describes a relaxed NpV2Tc crystal. The functional is PBE-GGA.

calculated formation energy = 0.19 eV/atom
symmetry = P4/mmm, No. 123
density = 11.818 g cm⁻³
E above lowest polymorph = 0.090 eV/atom

```
NpV2Tc
1.0
-1.434 2.612 0.491
-3.714 -1.676 -1.930
-1.397 -1.521 4.008
Np Tc V
1 1 2
direct
0.500 0.500 0.500
0.500 0.000 0.000
0.000 0.000 0.500
0.000 0.500 0.000
```

This record from the Alexandria database describes a relaxed NpVTc2 crystal. The functional is PBE-GGA.

calculated formation energy = 0.04 eV/atom
symmetry = Fm-3m, No. 225
density = 12.388 g cm⁻³
E above lowest polymorph = 0.029 eV/atom

```
NpVTc2
1.0
-0.728 4.150 -1.608
-4.217 1.531 -0.464
-1.537 3.240 2.735
Tc Np V
2 1 1
direct
0.750 0.750 0.750
0.250 0.250 0.250
0.000 0.000 0.000
0.500 0.500 0.500
```

This record from the Alexandria database describes a relaxed NpVTc2 crystal. The functional is PBE-GGA.

calculated formation energy = 0.01 eV/atom
symmetry = P4/mmm, No. 123
density = 12.497 g cm⁻³
E above lowest polymorph = 0.000 eV/atom

```
NpVTc2
1.0
-2.302 -1.822 -0.842
1.578 -2.435 0.953
-2.798 0.638 6.267
V Tc Np
1 2 1
direct
0.500 0.500 0.000
0.000 0.000 0.784
0.000 0.000 0.216
0.500 0.500 0.500
```

This record from the Alexandria database describes a relaxed NpV2Tc crystal. The functional is PBE-GGA.

calculated formation energy = 0.25 eV/atom
symmetry = R-3m, No. 166
density = 11.646 g cm⁻³
E above lowest polymorph = 0.150 eV/atom

```
NpV2Tc
1.0
-0.375 -2.766 0.448
0.890 -1.175 2.413
-7.822 0.380 4.726
Tc Np V
1 1 2
direct
0.500 0.500 0.500
0.000 0.000 0.000
0.241 0.241 0.277
0.759 0.759 0.723
```

This record from the Alexandria database describes a relaxed NpV2Tc crystal. The functional is PBE-GGA.

calculated formation energy = 0.10 eV/atom
symmetry = P4/mmm, No. 123
density = 11.446 g cm⁻³
E above lowest polymorph = 0.000 eV/atom

```
NpV2Tc
1.0
-1.524 -0.506 2.517
-2.238 -1.173 -1.591
2.997 -6.426 0.524
V Np Tc
2 1 1
direct
0.000 0.000 0.713
0.000 0.000 0.287
0.500 0.500 0.000
0.500 0.500 0.500
```

This record from the Alexandria database describes a relaxed NpVTc2 crystal. The functional is PBE-GGA.

calculated formation energy = 0.01 eV/atom
symmetry = P4/mmm, No. 123
density = 12.436 g cm⁻³
E above lowest polymorph = 0.002 eV/atom

```
NpVTc2
1.0
-0.803 -3.012 0.543
2.003 0.195 4.047
-3.886 1.371 1.857
Np Tc V
1 2 1
direct
0.500 0.500 0.500
0.000 0.000 0.500
0.000 0.500 0.000
0.500 0.000 0.000
```